1.
A plane-wave DFT calculation with PBE was carried out for an optimized crystal structure of P2OsSO.

The space group is P4/mmm (No. 123) and the conventional cell measures 4.701, 4.701 and 3.708 Å, with angles of 90.00, 90.00 and 90.00 degrees. Symmetry generates all atoms from P at (0.000, 0.500, 0.000), Os at (0.000, 0.000, 0.000), S at (0.500, 0.500, 0.500) and O at (0.000, 0.000, 0.500).

As for the spin magnetization: 0.000 μB/atom. The calculated total energy is -5.972 eV/atom. As for the formation energy without anion corrections: 255 meV per atom. The excess energy over the best structure of this formula in the dataset is 0 meV/atom. The crystal system is tetragonal.



2.
A plane-wave DFT calculation with PBE was carried out for an optimized crystal structure of P2OsSO.

The space group is P4/mmm (No. 123) and the conventional cell measures 4.597, 4.597 and 4.449 Å, with angles of 90.00, 90.00 and 90.00 degrees. Symmetry generates all atoms from P at (0.000, 0.500, 0.000), Os at (0.000, 0.000, 0.000), S at (0.000, 0.000, 0.500) and O at (0.500, 0.500, 0.500).

As for the spin magnetization: 0.000 μB/atom. The calculated total energy is -5.171 eV/atom. As for the formation energy without anion corrections: 1056 meV per atom. The excess energy over the best structure of this formula in the dataset is 802 meV/atom. The crystal system is tetragonal.



3.
A plane-wave DFT calculation with PBE was carried out for an optimized crystal structure of POsSO2.

The space group is P4/mmm (No. 123) and the conventional cell measures 3.681, 3.681 and 5.420 Å, with angles of 90.00, 90.00 and 90.00 degrees. Symmetry generates all atoms from P at (0.000, 0.000, 0.000), Os at (0.000, 0.000, 0.500), S at (0.500, 0.500, 0.000) and O at (0.000, 0.500, 0.500).

As for the spin magnetization: 0.000 μB/atom. The calculated total energy is -6.451 eV/atom. As for the formation energy without anion corrections: -315 meV per atom. The crystal system is tetragonal.



4.
A plane-wave DFT calculation with PBE was carried out for an optimized crystal structure of P2OsSO.

The space group is P4/mmm (No. 123) and the conventional cell measures 4.502, 4.502 and 3.205 Å, with angles of 90.00, 90.00 and 90.00 degrees. Symmetry generates all atoms from P at (0.000, 0.500, 0.000), Os at (0.000, 0.000, 0.500), S at (0.500, 0.500, 0.000) and O at (0.500, 0.500, 0.500).

As for the spin magnetization: 0.000 μB/atom. The calculated total energy is -5.525 eV/atom. As for the formation energy without anion corrections: 702 meV per atom. The excess energy over the best structure of this formula in the dataset is 447 meV/atom. The crystal system is tetragonal.



5.
A plane-wave DFT calculation with PBE was carried out for an optimized crystal structure of SbPOsO2.

The space group is P4/mmm (No. 123) and the conventional cell measures 3.806, 3.806 and 5.653 Å, with angles of 90.00, 90.00 and 90.00 degrees. Symmetry generates all atoms from Sb at (0.000, 0.000, 0.000), P at (0.000, 0.000, 0.500), Os at (0.500, 0.500, 0.500) and O at (0.000, 0.500, 0.000).

As for the spin magnetization: 0.547 μB/atom. The calculated total energy is -5.707 eV/atom. As for the formation energy without anion corrections: 428 meV per atom. The excess energy over the best structure of this formula in the dataset is 661 meV/atom. The crystal system is tetragonal.



6.
A plane-wave DFT calculation with PBE was carried out for an optimized crystal structure of SbPOsO2.

The space group is P4/mmm (No. 123) and the conventional cell measures 3.832, 3.832 and 5.351 Å, with angles of 90.00, 90.00 and 90.00 degrees. Symmetry generates all atoms from Sb at (0.000, 0.000, 0.000), P at (0.500, 0.500, 0.000), Os at (0.500, 0.500, 0.500) and O at (0.000, 0.500, 0.500).

As for the spin magnetization: 0.223 μB/atom. The calculated total energy is -6.368 eV/atom. As for the formation energy without anion corrections: -232 meV per atom. The excess energy over the best structure of this formula in the dataset is 0 meV/atom. The crystal system is tetragonal.



7.
A plane-wave DFT calculation with PBE was carried out for an optimized crystal structure of ScP2OsO.

The space group is P4/mmm (No. 123) and the conventional cell measures 4.844, 4.844 and 3.660 Å, with angles of 90.00, 90.00 and 90.00 degrees. Symmetry generates all atoms from Sc at (0.000, 0.000, 0.000), P at (0.000, 0.500, 0.500), Os at (0.500, 0.500, 0.500) and O at (0.500, 0.500, 0.000).

As for the spin magnetization: 0.000 μB/atom. The calculated total energy is -6.968 eV/atom. As for the formation energy without anion corrections: -300 meV per atom. The excess energy over the best structure of this formula in the dataset is 0 meV/atom. The crystal system is tetragonal.



8.
A plane-wave DFT calculation with PBE was carried out for an optimized crystal structure of ScP2OsO.

The space group is P4/mmm (No. 123) and the conventional cell measures 4.974, 4.974 and 3.724 Å, with angles of 90.00, 90.00 and 90.00 degrees. Symmetry generates all atoms from Sc at (0.000, 0.000, 0.000), P at (0.000, 0.500, 0.000), Os at (0.500, 0.500, 0.500) and O at (0.000, 0.000, 0.500).

As for the spin magnetization: 0.345 μB/atom. The calculated total energy is -6.130 eV/atom. As for the formation energy without anion corrections: 537 meV per atom. The excess energy over the best structure of this formula in the dataset is 837 meV/atom. The crystal system is tetragonal.